(1)
Density functional theory data (PBE) for a relaxed structure of PmAl4IrRh2.

Output
**Energy relative to the elements**: -0.8653 eV/atom
**Calculated volume**: 411.39 Å³ per cell

Cell and atoms, written as CIF:
```
data_PmAl4IrRh2
_symmetry_space_group_name_H-M 'R -3 m'
_symmetry_Int_Tables_number 166
_symmetry_space_group_name_Hall '-R 3 2"'
_cell_length_a 4.2186
_cell_length_b 4.2186
_cell_length_c 26.6926
_cell_angle_alpha 90.00
_cell_angle_beta 90.00
_cell_angle_gamma 120.00
loop_
_atom_site_label
_atom_site_fract_x
_atom_site_fract_y
_atom_site_fract_z
Pm1 0.0000 0.0000 0.0000
Al1 0.0000 0.0000 0.1331
Al2 0.0000 0.0000 0.4054
Ir1 0.0000 0.0000 0.5000
Rh1 0.0000 0.0000 0.2334
```

***

(2)
Density functional theory data (PBE) for a relaxed structure of PmAlIrRu.

Output
**Energy relative to the elements**: -0.3869 eV/atom
**Calculated volume**: 280.51 Å³ per cell

Cell and atoms, written as CIF:
```
data_PmAlIrRu
_symmetry_space_group_name_H-M 'F -4 3 m'
_symmetry_Int_Tables_number 216
_symmetry_space_group_name_Hall 'F -4 2 3'
_cell_length_a 6.5461
_cell_length_b 6.5461
_cell_length_c 6.5461
_cell_angle_alpha 90.00
_cell_angle_beta 90.00
_cell_angle_gamma 90.00
loop_
_atom_site_label
_atom_site_fract_x
_atom_site_fract_y
_atom_site_fract_z
Pm1 0.0000 0.0000 0.0000
Al1 0.0000 0.0000 0.5000
Ir1 0.2500 0.2500 0.2500
Ru1 0.2500 0.2500 0.7500
```

***

(3)
Density functional theory data (PBE) for a relaxed structure of Pm2AlSi3Ir4.

Output
**ΔE_f (raw)**: -1.03 eV/atom
**Calculated volume**: 174.99 Å³ per cell

Cell and atoms, written as CIF:
```
data_Pm2AlSi3Ir4
_symmetry_space_group_name_H-M 'P -4 m 2'
_symmetry_Int_Tables_number 115
_symmetry_space_group_name_Hall 'P -4 -2'
_cell_length_a 4.1640
_cell_length_b 4.1640
_cell_length_c 10.0927
_cell_angle_alpha 90.00
_cell_angle_beta 90.00
_cell_angle_gamma 90.00
loop_
_atom_site_label
_atom_site_fract_x
_atom_site_fract_y
_atom_site_fract_z
Pm1 0.0000 0.5000 0.2492
Al1 0.5000 0.5000 0.0000
Si1 0.0000 0.0000 0.0000
Si2 0.0000 0.5000 0.6277
Ir1 0.0000 0.0000 0.5000
Ir2 0.0000 0.5000 0.8654
Ir3 0.5000 0.5000 0.5000
```

***

(4)
Density functional theory data (PBE) for a relaxed structure of PmAlSiIr2.

Output
**ΔE_f (raw)**: -0.68 eV/atom
**Calculated volume**: 381.36 Å³ per cell

Cell and atoms, written as CIF:
```
data_PmAlSiIr2
_symmetry_space_group_name_H-M 'C m c m'
_symmetry_Int_Tables_number 63
_symmetry_space_group_name_Hall '-C 2c 2'
_cell_length_a 4.3075
_cell_length_b 12.1461
_cell_length_c 7.2890
_cell_angle_alpha 90.00
_cell_angle_beta 90.00
_cell_angle_gamma 90.00
loop_
_atom_site_label
_atom_site_fract_x
_atom_site_fract_y
_atom_site_fract_z
Pm1 0.0000 0.0850 0.2500
Al1 0.0000 0.2115 0.7500
Si1 0.0000 0.5000 0.0000
Ir1 0.0000 0.3210 0.0554
```

***

| no. | VASP energy (eV/f.u.) |
| --- | --- |
| 1 | -50.2 |
| 2 | -28.2 |
| 3 | -75.2 |
| 4 | -35.0 |